Material: RbNa2PS
Method: DFT, PBE-GGA
State: optimized geometry

Properties
- M_tot (μB/f.u.) = 2.00
- formation energy (no corrections) (meV per atom) = -23
- volume (Å³/cell) = 185.8
- VASP energy (eV for the cell shown) = -13.26
- space-group type = P4/mmm, No. 123

Cell: 5.378 5.378 6.423 Å, 90.00 90.00 90.00°
Element x y z (fractional)
Rb (0.000, 0.000, 0.000)
Na (0.000, 0.500, 0.500)
Na (0.500, 0.000, 0.500)
P (0.000, 0.000, 0.500)
S (0.500, 0.500, 0.000)